[1]
Computed, not measured: RbPS3 after structural relaxation at the PBE level of DFT.

Output
SG: Pnma (62)
size of the total moment: 0.000 μB per formula unit
electronic total energy: -4.358 eV/atom
formation energy from raw total energies: -0.606 eV per atom

Lattice parameters (Å, degrees): 5.9018 7.2353 13.7349 90.00 90.00 90.00
Fractional coordinates of all 20 atoms:
Rb1 0.0000 0.5000 0.0000
Rb2 0.5000 0.0000 0.5000
Rb3 0.5000 0.0000 0.0000
Rb4 0.0000 0.5000 0.5000
P1 0.4215 0.3976 0.7500
P2 0.0785 0.8976 0.2500
P3 0.5785 0.6024 0.2500
P4 0.9215 0.1024 0.7500
S1 0.0054 0.0181 0.1240
S2 0.4946 0.5181 0.6240
S3 0.4946 0.5181 0.8760
S4 0.9946 0.9819 0.6240
S5 0.9946 0.9819 0.8760
S6 0.5054 0.4819 0.3760
S7 0.5054 0.4819 0.1240
S8 0.0054 0.0181 0.3760
S9 0.5401 0.1176 0.7500
S10 0.9599 0.6176 0.2500
S11 0.4599 0.8824 0.2500
S12 0.0401 0.3824 0.7500

=====

[2]
Computed, not measured: La4NdZn5 after structural relaxation at the PBE level of DFT.

Output
calculated formation energy: -0.31 eV/atom
SG: P4/mmm (123)
size of the total moment: 0.002 μB per formula unit
electronic total energy: -3.393 eV/atom

Lattice parameters (Å, degrees): 3.7523 3.7523 18.6905 90.00 90.00 90.00
Fractional coordinates of all 10 atoms:
La1 0.0000 0.0000 0.1977
La2 0.0000 0.0000 0.3994
La3 0.0000 0.0000 0.6006
La4 0.0000 0.0000 0.8023
Nd1 0.0000 0.0000 0.0000
Zn1 0.5000 0.5000 0.0956
Zn2 0.5000 0.5000 0.2988
Zn3 0.5000 0.5000 0.5000
Zn4 0.5000 0.5000 0.7012
Zn5 0.5000 0.5000 0.9044

=====

[3]
Computed, not measured: RbCu4Br6 after structural relaxation at the PBE level of DFT.

Output
SG: I-42m (121)
size of the total moment: 0.000 μB per formula unit
electronic total energy: -2.816 eV/atom
formation energy from raw total energies: -0.326 eV per atom

Lattice parameters (Å, degrees): 6.9377 6.9377 7.3457 118.18 118.18 90.00
Fractional coordinates of all 11 atoms:
Rb1 0.5000 0.5000 0.0000
Cu1 0.0272 0.0272 0.7860
Cu2 0.2412 0.9728 0.2140
Cu3 0.7588 0.7588 0.7860
Cu4 0.9728 0.2412 0.2140
Br1 0.0386 0.0386 0.4399
Br2 0.4014 0.4014 0.4399
Br3 0.9614 0.5986 0.5601
Br4 0.5000 0.0000 0.0000
Br5 0.5986 0.9614 0.5601
Br6 0.0000 0.5000 0.0000